# RbScSn

RbScSn after structural relaxation (PBE-GGA, the Alexandria database).

Lattice parameters (Å, degrees): 9.281 5.209 8.254 90.00 90.00 90.00
Atoms (fractional coordinates):
1 Rb 0.009 0.250 0.143
2 Rb 0.491 0.750 0.643
3 Rb 0.509 0.250 0.357
4 Rb 0.991 0.750 0.857
5 Sc 0.134 0.750 0.430
6 Sc 0.366 0.250 0.930
7 Sc 0.634 0.750 0.070
8 Sc 0.866 0.250 0.570
9 Sn 0.179 0.250 0.621
10 Sn 0.321 0.750 0.121
11 Sn 0.679 0.250 0.879
12 Sn 0.821 0.750 0.379

Output
Space-group type: Pnma
ΔH_f (0 K): -0.195 eV/atom